Computed, not measured: Cd2SnTeI after structural relaxation at the PBE level of DFT.

Cell: 5.6470 6.2953 5.6470 Å, 90.00 90.00 90.00°
Fractional coordinates of all 5 atoms:
1 Sn 0.5000 0.5000 0.5000
2 Cd 0.0000 0.0000 0.5000
3 Cd 0.5000 0.0000 0.0000
4 Te 0.0000 0.5000 0.0000
5 I 0.0000 0.0000 0.0000

The size of the total moment comes out at 0.0 μB per formula unit. As for the density: 4.95 g cm⁻³. The calculation puts the electronic total energy at -1.463 eV/atom. The value obtained for the uncorrected formation energy is 641.5 meV per atom. The space group is P4/mmm.